A PBEsol-optimized structure of CsCaReC2. Source: Alexandria via LeMat-Bulk, functional meta-GGA SCAN.

abc: 4.1612 4.1612 5.3402
angles: 90.00 90.00 90.00
Last column: nearest neighbours and their distance in Å.
Space group P4/mmm (No. 123)
One atom of each set of equivalent atoms:
Cs 0.0000 0.0000 0.0000 x1  2 Re 2.67, 4 Ca 2.94
Ca 0.5000 0.5000 0.0000 x1  4 Cs 2.94
Re 0.0000 0.0000 0.5000 x1  4 C 2.08
C 0.0000 0.5000 0.5000 x2  2 Re 2.08

## Properties
As for the crystal system: tetragonal. As for the density of states at the Fermi level: 2.91 states/eV/f.u. The density is 6.88 g cm⁻³. The total magnetization is 0.0 μB/cell. Its formation energy is 1.71 eV/atom. The value obtained for the raw total energy is -26.04 eV/atom.